Here is a PBEsol-optimized structure of P2PdCO from Alexandria. Energies are from SCAN.

Properties
formation energy from raw total energies	0.8961	eV per atom

Unit cell a=4.2532 b=4.2532 c=3.0517 alpha=90.00 beta=90.00 gamma=90.00
Sites, in units of the cell vectors:
P  0.0000  0.5000  0.0000
P  0.5000  0.0000  0.0000
Pd  0.0000  0.0000  0.5000
C  0.5000  0.5000  0.0000
O  0.5000  0.5000  0.5000

Here is a PBEsol-optimized structure of Mg2ZrOsPd from Alexandria. Energies are from SCAN.

Properties
formation enthalpy at 0 K	0.7599	eV per atom

Unit cell a=4.7574 b=4.7574 c=4.7859 alpha=90.00 beta=90.00 gamma=90.00
Sites, in units of the cell vectors:
Mg  0.0000  0.5000  0.0000
Mg  0.5000  0.0000  0.0000
Zr  0.0000  0.0000  0.5000
Os  0.5000  0.5000  0.0000
Pd  0.5000  0.5000  0.5000

Here is a PBEsol-optimized structure of CsBeSbAs2 from Alexandria. Energies are from SCAN.

Properties
formation energy from raw total energies	2.0005	eV per atom

Unit cell a=5.5891 b=5.5891 c=4.8824 alpha=90.00 beta=90.00 gamma=90.00
Sites, in units of the cell vectors:
Cs  0.0000  0.0000  0.0000
Be  0.0000  0.0000  0.5000
Sb  0.5000  0.5000  0.5000
As  0.0000  0.5000  0.0000
As  0.5000  0.0000  0.0000

Here is a PBEsol-optimized structure of Al9Rh2 from Alexandria. Energies are from SCAN.

Properties
formation enthalpy at 0 K	-0.6007	eV per atom

Unit cell a=6.3167 b=6.4159 c=8.6699 alpha=90.00 beta=95.12 gamma=90.00
Sites, in units of the cell vectors:
Al  0.0000  0.0000  0.0000
Al  0.0000  0.5000  0.5000
Al  0.0954  0.2138  0.7286
Al  0.0954  0.2862  0.2286
Al  0.2099  0.6060  0.0396
Al  0.2099  0.8940  0.5396
Al  0.3893  0.1968  0.9963
Al  0.3893  0.3032  0.4963
Al  0.4008  0.5233  0.7690
Al  0.4008  0.9767  0.2690
Al  0.5992  0.0233  0.7310
Al  0.5992  0.4767  0.2310
Al  0.6107  0.6968  0.5037
Al  0.6107  0.8032  0.0037
Al  0.7901  0.1060  0.4604
Al  0.7901  0.3940  0.9604
Al  0.9046  0.7138  0.7714
Al  0.9046  0.7862  0.2714
Rh  0.2646  0.6221  0.3316
Rh  0.2646  0.8779  0.8316
Rh  0.7354  0.1221  0.1684
Rh  0.7354  0.3779  0.6684

Here is a PBEsol-optimized structure of YTlZn from Alexandria. Energies are from SCAN.

Properties
formation enthalpy at 0 K	-0.4915	eV per atom

Unit cell a=4.6131 b=4.6131 c=3.6028 alpha=90.00 beta=90.00 gamma=120.00
Sites, in units of the cell vectors:
Y  0.0000  0.0000  0.0000
Tl  0.6667  0.3333  0.5020
Zn  0.3333  0.6667  0.4978

Here is a PBEsol-optimized structure of Hg2WAu from Alexandria. Energies are from SCAN.

Properties
formation enthalpy at 0 K	0.9200	eV per atom

Unit cell a=5.0732 b=5.0732 c=5.0732 alpha=130.95 beta=130.95 gamma=71.90
Sites, in units of the cell vectors:
Hg  0.2500  0.7500  0.5000
Hg  0.7500  0.2500  0.5000
W  0.0000  0.0000  0.0000
Au  0.5000  0.5000  0.0000

Here is a PBEsol-optimized structure of ScMn2Al from Alexandria. Energies are from SCAN.

Properties
formation enthalpy at 0 K	-0.2096	eV per atom

Unit cell a=2.7867 b=2.7867 c=7.1639 alpha=90.00 beta=90.00 gamma=90.00
Sites, in units of the cell vectors:
Sc  0.0000  0.0000  0.0000
Mn  0.0000  0.0000  0.5648
Mn  0.5000  0.5000  0.7276
Al  0.5000  0.5000  0.3297

Here is a PBEsol-optimized structure of SrHF3 from Alexandria. Energies are from SCAN.

Unit cell a=4.3330 b=3.9309 c=8.0478 alpha=90.00 beta=105.54 gamma=90.00
Sites, in units of the cell vectors:
Sr  0.1598  0.2500  0.3193
Sr  0.8402  0.7500  0.6807
H  0.5000  0.0000  0.0000
H  0.5000  0.5000  0.0000
F  0.0796  0.7500  0.1630
F  0.2687  0.7500  0.5374
F  0.4606  0.7500  0.9207
F  0.5394  0.2500  0.0793
F  0.7313  0.2500  0.4626
F  0.9204  0.2500  0.8370

Ordered mass density results: 5.91, 6.69, 4.50, 4.26, 8.97, 17.82, 5.43, 3.66; unit Mg/m³.
Ordered calculated total energy results: -65.42, -141.50, -109.80, -287.84, -115.19, -271.50, -59.34, -103.17; unit eV per cell.
Ordered DOS at the Fermi energy results: 2.83, 3.62, 4.10, 5.46, 1.52, 2.34, 1.25, 0.00; unit states/eV per cell.